Entry 1:
Here is a relaxed structure of U11Se20 from Alexandria. Energies are from PBE.

Results
The calculation puts the formation energy without anion corrections at -1.14 eV/atom. Its total magnetic moment is 15.814 μB per formula unit. Its space group is P4 (75).

Cell: 10.7324 10.7324 6.6450 Å, 90.00 90.00 90.00°
Sites, in units of the cell vectors:
Se  0.5872  0.2903  0.8786
Se  0.5881  0.7091  0.3847
Se  0.7913  0.9101  0.1165
Se  0.4128  0.7097  0.8786
Se  0.0000  0.5000  0.5022
Se  0.5000  0.0000  0.5022
Se  0.7097  0.5872  0.8786
Se  0.9101  0.2087  0.1165
Se  0.2903  0.4128  0.8786
Se  0.7919  0.0886  0.6153
Se  0.7091  0.4119  0.3847
Se  0.0000  0.5000  0.0035
Se  0.0899  0.7913  0.1165
Se  0.2909  0.5881  0.3847
Se  0.2087  0.0899  0.1165
Se  0.2081  0.9114  0.6153
Se  0.5000  0.0000  0.0035
Se  0.4119  0.2909  0.3847
Se  0.0886  0.2081  0.6153
Se  0.9114  0.7919  0.6153
U  0.8380  0.6490  0.2526
U  0.3493  0.1594  0.7516
U  0.1594  0.6507  0.7516
U  0.0000  0.0000  0.3573
U  0.1620  0.3510  0.2526
U  0.5000  0.5000  0.6393
U  0.6490  0.1620  0.2526
U  0.0000  0.0000  0.8589
U  0.6507  0.8406  0.7516
U  0.8406  0.3493  0.7516
U  0.3510  0.8380  0.2526



Entry 2:
Here is a relaxed structure of CsK2TlSb from Alexandria. Energies are from PBE.

Results
The calculation puts the formation energy without anion corrections at -0.08 eV/atom. Its total magnetic moment is 0.284 μB per formula unit. Its space group is P4/mmm (123).

Cell: 6.7770 6.7770 6.3725 Å, 90.00 90.00 90.00°
Sites, in units of the cell vectors:
K  0.0000  0.5000  0.0000
K  0.5000  0.0000  0.0000
Cs  0.5000  0.5000  0.5000
Sb  0.0000  0.0000  0.0000
Tl  0.0000  0.0000  0.5000